Record 1
A plane-wave DFT calculation with meta-GGA SCAN was carried out for Ho3Al12Os4 at its PBEsol-relaxed geometry.

POSCAR file:
```
Ho3Al12Os4
1.0
8.7305 0.0000 0.0000
-4.3653 7.5608 0.0000
0.0000 0.0000 9.4979
Ho Al Os
6 24 8
Direct
0.1935 0.3871 0.2500 Ho
0.1935 0.8065 0.2500 Ho
0.3871 0.1935 0.7500 Ho
0.6129 0.8065 0.2500 Ho
0.8065 0.1935 0.7500 Ho
0.8065 0.6129 0.7500 Ho
0.0000 0.0000 0.2500 Al
0.0000 0.0000 0.7500 Al
0.1220 0.5610 0.7500 Al
0.1632 0.3264 0.5756 Al
0.1632 0.3264 0.9244 Al
0.1632 0.8368 0.5756 Al
0.1632 0.8368 0.9244 Al
0.3264 0.1632 0.0756 Al
0.3264 0.1632 0.4244 Al
0.3333 0.6667 0.0192 Al
0.3333 0.6667 0.4808 Al
0.4390 0.5610 0.7500 Al
0.4390 0.8780 0.7500 Al
0.5610 0.1220 0.2500 Al
0.5610 0.4390 0.2500 Al
0.6667 0.3333 0.5192 Al
0.6667 0.3333 0.9808 Al
0.6736 0.8368 0.5756 Al
0.6736 0.8368 0.9244 Al
0.8368 0.1632 0.0756 Al
0.8368 0.1632 0.4244 Al
0.8368 0.6736 0.0756 Al
0.8368 0.6736 0.4244 Al
0.8780 0.4390 0.2500 Al
0.0000 0.0000 0.0000 Os
0.0000 0.0000 0.5000 Os
0.0000 0.5000 0.0000 Os
0.0000 0.5000 0.5000 Os
0.5000 0.0000 0.0000 Os
0.5000 0.0000 0.5000 Os
0.5000 0.5000 0.0000 Os
0.5000 0.5000 0.5000 Os
```

calculated total energy = -1082.15 eV per cell
space group = P6_3/mmc, No. 194
magnetic moment = 0.70 μB/cell
volume = 627.0 Å³ per cell
theoretical density = 8.37 g/cm³



Record 2
A plane-wave DFT calculation with meta-GGA SCAN was carried out for CaHg at its PBEsol-relaxed geometry.

POSCAR file:
```
CaHg
1.0
5.7208 -1.9345 0.0000
5.7208 1.9345 0.0000
-4.0450 0.0000 7.4803
Ca Hg
3 3
Direct
0.0000 0.0000 0.0000 Ca
0.6293 0.6293 0.7246 Ca
0.7875 0.7875 0.3712 Ca
0.0615 0.0615 0.3881 Hg
0.3061 0.3061 0.0782 Hg
0.3416 0.3416 0.6936 Hg
```

calculated total energy = -237.16 eV per cell
space group = Cm, No. 8
magnetic moment = 0.00 μB/cell
volume = 165.6 Å³ per cell
theoretical density = 7.24 g/cm³



Record 3
A plane-wave DFT calculation with meta-GGA SCAN was carried out for TaFe2Co at its PBEsol-relaxed geometry.

POSCAR file:
```
TaFe2Co
1.0
2.9576 0.0000 0.0000
0.0000 2.9576 0.0000
0.0000 0.0000 5.6901
Ta Fe Co
1 2 1
Direct
0.0000 0.0000 0.0000 Ta
0.0000 0.0000 0.5037 Fe
0.5000 0.5000 0.7348 Fe
0.5000 0.5000 0.2698 Co
```

calculated total energy = -120.70 eV per cell
space group = P4mm, No. 99
magnetic moment = 5.87 μB/cell
volume = 49.8 Å³ per cell
theoretical density = 11.73 g/cm³